Record 1
Here is an optimized crystal structure of Th4Sb3As from the Alexandria database. Energies are from GGA-PBE.

Cell lengths 7.7315, 8.8570, 7.6923 Å; angles 90.00, 109.29, 90.00 degrees
Closest atoms and distances in Å follow each position.
Fractional coordinates of all 16 atoms:
Th: 0.2312 0.1162 0.0003  2 As 3.03, 4 Sb 3.15-3.27
Th: 0.2312 0.8838 0.5003  2 As 3.03, 4 Sb 3.15-3.27
Th: 0.2404 0.3637 0.4898  1 As 3.02, 5 Sb 3.14-3.27
Th: 0.2404 0.6363 0.9898  1 As 3.02, 5 Sb 3.14-3.27
Th: 0.7596 0.3637 0.0102  1 As 3.02, 5 Sb 3.14-3.27
Th: 0.7596 0.6363 0.5102  1 As 3.02, 5 Sb 3.14-3.27
Th: 0.7688 0.1162 0.4997  2 As 3.03, 4 Sb 3.15-3.27
Th: 0.7688 0.8838 0.9997  2 As 3.03, 4 Sb 3.15-3.27
Sb: 0.0000 0.3761 0.7500  6 Th 3.15
Sb: 0.0000 0.6239 0.2500  6 Th 3.15
Sb: 0.5000 0.1242 0.7500  6 Th 3.14-3.27
Sb: 0.5000 0.3761 0.2500  6 Th 3.14-3.27
Sb: 0.5000 0.6239 0.7500  6 Th 3.14-3.27
Sb: 0.5000 0.8758 0.2500  6 Th 3.14-3.27
As: 0.0000 0.1240 0.2500  6 Th 3.02-3.03
As: 0.0000 0.8760 0.7500  6 Th 3.02-3.03

## Properties
The crystal system is monoclinic. The space group is P2/c, No. 13. As for the volume: 31.07 A^3/atom.


Record 2
Here is an optimized crystal structure of ThSbAs from the Alexandria database. Energies are from GGA-PBE.

Cell lengths 4.2641, 4.2641, 17.6954 Å; angles 90.00, 90.00, 90.00 degrees
Closest atoms and distances in Å follow each position.
Fractional coordinates of all 12 atoms:
Th: 0.0000 0.0000 0.1511  5 As 2.98-3.06
Th: 0.0000 0.0000 0.8489  5 As 2.98-3.06
Th: 0.5000 0.5000 0.3489  5 As 2.98-3.06
Th: 0.5000 0.5000 0.6511  5 As 2.98-3.06
Sb: 0.0000 0.5000 0.0000  4 Sb 3.02
Sb: 0.0000 0.5000 0.5000  4 Sb 3.02
Sb: 0.5000 0.0000 0.0000  4 Sb 3.02
Sb: 0.5000 0.0000 0.5000  4 Sb 3.02
As: 0.0000 0.0000 0.3195  5 Th 2.98-3.06
As: 0.0000 0.0000 0.6805  5 Th 2.98-3.06
As: 0.5000 0.5000 0.1805  5 Th 2.98-3.06
As: 0.5000 0.5000 0.8195  5 Th 2.98-3.06

## Properties
The calculation puts the energy above the most stable polymorph in this dataset at 0 meV/atom. The crystal system is tetragonal. The space group is I4/mmm, No. 139. As for the volume: 26.81 A^3/atom.


Record 3
Here is an optimized crystal structure of Th5Sb2As2 from the Alexandria database. Energies are from GGA-PBE.

Cell lengths 8.8563, 8.8563, 8.0973 Å; angles 90.00, 90.00, 54.65 degrees
Closest atoms and distances in Å follow each position.
Fractional coordinates of all 18 atoms:
Th: 0.0000 0.0000 0.0000  4 As 3.12-3.13, 2 Sb 3.23
Th: 0.0340 0.7149 0.6613  3 As 3.01-3.15, 3 Sb 3.24-3.31
Th: 0.2149 0.5340 0.1613  3 As 3.01-3.15, 3 Sb 3.24-3.31
Th: 0.2851 0.9660 0.6613  3 As 3.01-3.15, 3 Sb 3.24-3.31
Th: 0.4660 0.7851 0.1613  3 As 3.01-3.15, 3 Sb 3.24-3.31
Th: 0.5000 0.5000 0.5000  4 As 3.12-3.13, 2 Sb 3.23
Th: 0.5340 0.2149 0.8387  3 As 3.01-3.15, 3 Sb 3.24-3.31
Th: 0.7149 0.0340 0.3387  3 As 3.01-3.15, 3 Sb 3.24-3.31
Th: 0.7851 0.4660 0.8387  3 As 3.01-3.15, 3 Sb 3.24-3.31
Th: 0.9660 0.2851 0.3387  3 As 3.01-3.15, 3 Sb 3.24-3.31
Sb: 0.2050 0.2050 0.0000  7 Th 3.23-3.31
Sb: 0.2950 0.2950 0.5000  7 Th 3.23-3.31
Sb: 0.7050 0.7050 0.5000  7 Th 3.23-3.31
Sb: 0.7950 0.7950 0.0000  7 Th 3.23-3.31
As: 0.1420 0.8580 0.3586  8 Th 3.01-3.15, 1 As 3.25
As: 0.3580 0.6420 0.8586  8 Th 3.01-3.15, 1 As 3.25
As: 0.6420 0.3580 0.1414  8 Th 3.01-3.15, 1 As 3.25
As: 0.8580 0.1420 0.6414  8 Th 3.01-3.15, 1 As 3.25

## Properties
The crystal system is orthorhombic. The space group is Cmce, No. 64. As for the volume: 28.78 A^3/atom.


Record 4
Here is an optimized crystal structure of Th4SbAs2 from the Alexandria database. Energies are from GGA-PBE.

Cell lengths 7.2453, 7.2453, 14.4737 Å; angles 90.00, 90.00, 146.32 degrees
Closest atoms and distances in Å follow each position.
Fractional coordinates of all 14 atoms:
Th: 0.0000 0.0000 0.0000  4 As 2.98
Th: 0.0000 0.0000 0.5000  4 As 2.98
Th: 0.2762 0.7238 0.6221  3 As 2.89-2.97
Th: 0.2762 0.7238 0.8779  3 As 2.89-2.97
Th: 0.4265 0.5735 0.2500  2 As 2.89, 2 Sb 3.18
Th: 0.5735 0.4265 0.7500  2 As 2.89, 2 Sb 3.18
Th: 0.7238 0.2762 0.1221  3 As 2.89-2.97
Th: 0.7238 0.2762 0.3779  3 As 2.89-2.97
Sb: 0.0991 0.9009 0.2500  6 Th 3.18-3.29
Sb: 0.9009 0.0991 0.7500  6 Th 3.18-3.29
As: 0.3615 0.6385 0.0602  6 Th 2.89-2.98
As: 0.3615 0.6385 0.4398  6 Th 2.89-2.98
As: 0.6385 0.3615 0.5602  6 Th 2.89-2.98
As: 0.6385 0.3615 0.9398  6 Th 2.89-2.98

## Properties
The crystal system is orthorhombic. The space group is Cmcm, No. 63. As for the volume: 30.09 A^3/atom.


Record 5
Here is an optimized crystal structure of ThSbAs from the Alexandria database. Energies are from GGA-PBE.

Cell lengths 4.5857, 4.5857, 9.5307 Å; angles 90.00, 90.00, 120.00 degrees
Closest atoms and distances in Å follow each position.
Fractional coordinates of all 6 atoms:
Th: 0.0000 0.0000 0.1944  3 Sb 3.19, 6 As 3.20-3.27
Th: 0.0000 0.0000 0.8056  3 Sb 3.19, 6 As 3.20-3.27
Sb: 0.3333 0.6667 0.3806  3 Th 3.19, 3 Sb 3.49
Sb: 0.6667 0.3333 0.6194  3 Th 3.19, 3 Sb 3.49
As: 0.3333 0.6667 0.9937  3 As 2.65
As: 0.6667 0.3333 0.0063  3 As 2.65

## Properties
The calculation puts the energy above the most stable polymorph in this dataset at 521 meV/atom. The crystal system is trigonal. The space group is P-3m1, No. 164. As for the volume: 28.93 A^3/atom.


Record 6
Here is an optimized crystal structure of Th6SbAs5 from the Alexandria database. Energies are from GGA-PBE.

Cell lengths 7.4446, 7.4446, 7.4439 Å; angles 99.62, 99.62, 120.09 degrees
Closest atoms and distances in Å follow each position.
Fractional coordinates of all 12 atoms:
Th: 0.0687 0.4139 0.7410  5 As 2.98-3.04, 1 Sb 3.14
Th: 0.2401 0.2401 0.2559  5 As 2.94-3.03, 1 Sb 3.13
Th: 0.4139 0.0687 0.7410  5 As 2.98-3.04, 1 Sb 3.14
Th: 0.5861 0.9313 0.2590  5 As 2.98-3.04, 1 Sb 3.14
Th: 0.7599 0.7599 0.7441  5 As 2.94-3.03, 1 Sb 3.13
Th: 0.9313 0.5861 0.2590  5 As 2.98-3.04, 1 Sb 3.14
Sb: 0.5000 0.5000 0.0000  6 Th 3.13-3.14
As: 0.0000 0.0000 0.5000  6 Th 2.94-3.04
As: 0.1674 0.8326 0.0000  6 Th 3.03-3.04
As: 0.3385 0.6615 0.5000  6 Th 2.98-3.04
As: 0.6615 0.3385 0.5000  6 Th 2.98-3.04
As: 0.8326 0.1674 0.0000  6 Th 3.03-3.04

## Properties
The crystal system is monoclinic. The space group is C2/m, No. 12. As for the volume: 28.03 A^3/atom.


Looking at electronic total energy for the records above, in order, we have -6.85; -6.36; -7.01; -7.09; -5.84; -7.29 eV/atom.